No. 1
# TbCe2TlN, optimized geometry, DFT PBE-GGA
# Fermi-level density of states ... 1.833 states/eV/atom
data_TbCe2TlN
_cell_length_a 4.8983
_cell_length_b 4.8983
_cell_length_c 4.9346
_cell_angle_alpha 90.00
_cell_angle_beta 90.00
_cell_angle_gamma 90.00
_space_group_name_H-M_alt 'P 4/m m m'
_space_group_IT_number 123
_space_group_name_Hall '-P 4 2'
loop_
_atom_site_label
_atom_site_type_symbol
_atom_site_fract_x
_atom_site_fract_y
_atom_site_fract_z
Tb1 Tb 0.0000 0.0000 0.0000
Ce1 Ce 0.0000 0.5000 0.5000
Tl1 Tl 0.5000 0.5000 0.0000
N1 N 0.0000 0.0000 0.5000



No. 2
# PaPbO, optimized geometry, DFT PBE-GGA
# Fermi-level density of states ... 0.819 states/eV/atom
data_PaPbO
_cell_length_a 6.1538
_cell_length_b 3.8104
_cell_length_c 12.5331
_cell_angle_alpha 90.00
_cell_angle_beta 90.00
_cell_angle_gamma 90.00
_space_group_name_H-M_alt 'P n m a'
_space_group_IT_number 62
_space_group_name_Hall '-P 2ac 2n'
loop_
_atom_site_label
_atom_site_type_symbol
_atom_site_fract_x
_atom_site_fract_y
_atom_site_fract_z
Pa1 Pa 0.2473 0.2500 0.0299
Pb1 Pb 0.1500 0.2500 0.2964
O1 O 0.0813 0.7500 0.0580



No. 3
# PrZnClO2, optimized geometry, DFT PBE-GGA
# Fermi-level density of states ... 0.000 states/eV/atom
data_PrZnClO2
_cell_length_a 3.9463
_cell_length_b 11.4326
_cell_length_c 7.0144
_cell_angle_alpha 90.00
_cell_angle_beta 90.00
_cell_angle_gamma 90.00
_space_group_name_H-M_alt 'C m c m'
_space_group_IT_number 63
_space_group_name_Hall '-C 2c 2'
loop_
_atom_site_label
_atom_site_type_symbol
_atom_site_fract_x
_atom_site_fract_y
_atom_site_fract_z
Pr1 Pr 0.0000 0.2238 0.2500
Zn1 Zn 0.0000 0.5000 0.0000
Cl1 Cl 0.0000 0.0457 0.7500
O1 O 0.0000 0.3386 0.5482



No. 4
# CeMnAu, optimized geometry, DFT PBE-GGA
# Fermi-level density of states ... 0.895 states/eV/atom
# ΔH_f (0 K) ... -0.0711 eV/atom
data_CeMnAu
_cell_length_a 6.2646
_cell_length_b 6.4494
_cell_length_c 6.2756
_cell_angle_alpha 90.00
_cell_angle_beta 109.62
_cell_angle_gamma 90.00
_space_group_name_H-M_alt 'P 1 21 1'
_space_group_IT_number 4
_space_group_name_Hall 'P 2yb'
loop_
_atom_site_label
_atom_site_type_symbol
_atom_site_fract_x
_atom_site_fract_y
_atom_site_fract_z
Ce1 Ce 0.1581 0.0000 0.2074
Ce2 Ce 0.3182 0.4990 0.4382
Mn1 Mn 0.2110 0.8040 0.5184
Mn2 Mn 0.3463 0.2781 0.1779
Au1 Au 0.2095 0.1553 0.7358
Au2 Au 0.3324 0.6236 0.9460



No. 5
# LiRe2Se, optimized geometry, DFT PBE-GGA
# Fermi-level density of states ... 0.811 states/eV/atom
data_LiRe2Se
_cell_length_a 5.2766
_cell_length_b 10.2343
_cell_length_c 2.7120
_cell_angle_alpha 90.00
_cell_angle_beta 119.41
_cell_angle_gamma 90.00
_space_group_name_H-M_alt 'C 1 2/m 1'
_space_group_IT_number 12
_space_group_name_Hall '-C 2y'
loop_
_atom_site_label
_atom_site_type_symbol
_atom_site_fract_x
_atom_site_fract_y
_atom_site_fract_z
Li1 Li 0.0000 0.0000 0.0000
Re1 Re 0.2500 0.2500 0.0000
Se1 Se 0.0000 0.5000 0.0000



No. 6
# Tb4PrEr, optimized geometry, DFT PBE-GGA
# Fermi-level density of states ... 2.146 states/eV/atom
# ΔH_f (0 K) ... 0.1973 eV/atom
data_Tb4PrEr
_cell_length_a 11.6105
_cell_length_b 3.4577
_cell_length_c 11.5732
_cell_angle_alpha 90.00
_cell_angle_beta 120.00
_cell_angle_gamma 90.00
_space_group_name_H-M_alt 'C 1 2/m 1'
_space_group_IT_number 12
_space_group_name_Hall '-C 2y'
loop_
_atom_site_label
_atom_site_type_symbol
_atom_site_fract_x
_atom_site_fract_y
_atom_site_fract_z
Tb1 Tb 0.1882 0.0000 0.3418
Tb2 Tb 0.1923 0.0000 0.8478
Pr1 Pr 0.0000 0.0000 0.5000
Er1 Er 0.0000 0.0000 0.0000



No. 7
# Fe2IrRh2, optimized geometry, DFT PBE-GGA
# Fermi-level density of states ... 2.088 states/eV/atom
# ΔH_f (0 K) ... 0.2966 eV/atom
data_Fe2IrRh2
_cell_length_a 6.9244
_cell_length_b 6.9244
_cell_length_c 2.7170
_cell_angle_alpha 90.00
_cell_angle_beta 90.00
_cell_angle_gamma 90.00
_space_group_name_H-M_alt 'P 4/m b m'
_space_group_IT_number 127
_space_group_name_Hall '-P 4 2ab'
loop_
_atom_site_label
_atom_site_type_symbol
_atom_site_fract_x
_atom_site_fract_y
_atom_site_fract_z
Fe1 Fe 0.1173 0.3827 0.0000
Ir1 Ir 0.0000 0.0000 0.0000
Rh1 Rh 0.1776 0.6776 0.5000



No. 8
# PmBe2Ir2, optimized geometry, DFT PBE-GGA
# Fermi-level density of states ... 0.438 states/eV/atom
# ΔH_f (0 K) ... -0.5653 eV/atom
data_PmBe2Ir2
_cell_length_a 5.6623
_cell_length_b 5.7890
_cell_length_c 9.4376
_cell_angle_alpha 90.00
_cell_angle_beta 90.00
_cell_angle_gamma 90.00
_space_group_name_H-M_alt 'C m c m'
_space_group_IT_number 63
_space_group_name_Hall '-C 2c 2'
loop_
_atom_site_label
_atom_site_type_symbol
_atom_site_fract_x
_atom_site_fract_y
_atom_site_fract_z
Pm1 Pm 0.0000 0.2335 0.2500
Be1 Be 0.2084 0.0000 0.0000
Ir1 Ir 0.0000 0.2927 0.6099



No. 9
# NbSb, optimized geometry, DFT PBE-GGA
# Fermi-level density of states ... 0.980 states/eV/atom
data_NbSb
_cell_length_a 4.5127
_cell_length_b 8.9170
_cell_length_c 6.6588
_cell_angle_alpha 90.00
_cell_angle_beta 90.00
_cell_angle_gamma 90.00
_space_group_name_H-M_alt 'A m m 2'
_space_group_IT_number 38
_space_group_name_Hall 'A 2 -2'
loop_
_atom_site_label
_atom_site_type_symbol
_atom_site_fract_x
_atom_site_fract_y
_atom_site_fract_z
Nb1 Nb 0.0000 0.0000 0.0000
Nb2 Nb 0.5000 0.1951 0.9488
Sb1 Sb 0.0000 0.1712 0.6458
Sb2 Sb 0.5000 0.0000 0.2950



No. 10
# Y2FeTc, optimized geometry, DFT PBE-GGA
# Fermi-level density of states ... 1.165 states/eV/atom
# ΔH_f (0 K) ... 0.1445 eV/atom
data_Y2FeTc
_cell_length_a 3.2514
_cell_length_b 3.2514
_cell_length_c 8.1936
_cell_angle_alpha 90.00
_cell_angle_beta 90.00
_cell_angle_gamma 90.00
_space_group_name_H-M_alt 'P 4 m m'
_space_group_IT_number 99
_space_group_name_Hall 'P 4 -2'
loop_
_atom_site_label
_atom_site_type_symbol
_atom_site_fract_x
_atom_site_fract_y
_atom_site_fract_z
Y1 Y 0.0000 0.0000 0.0000
Y2 Y 0.5000 0.5000 0.3846
Fe1 Fe 0.0000 0.0000 0.6223
Tc1 Tc 0.5000 0.5000 0.7615



No. 11
# Pr2ZnGa4Rh3, optimized geometry, DFT PBE-GGA
# Fermi-level density of states ... 0.726 states/eV/atom
# ΔH_f (0 K) ... -0.6786 eV/atom
data_Pr2ZnGa4Rh3
_cell_length_a 4.3239
_cell_length_b 4.3239
_cell_length_c 10.2399
_cell_angle_alpha 90.00
_cell_angle_beta 90.00
_cell_angle_gamma 90.00
_space_group_name_H-M_alt 'P -4 m 2'
_space_group_IT_number 115
_space_group_name_Hall 'P -4 -2'
loop_
_atom_site_label
_atom_site_type_symbol
_atom_site_fract_x
_atom_site_fract_y
_atom_site_fract_z
Pr1 Pr 0.0000 0.5000 0.2463
Zn1 Zn 0.5000 0.5000 0.0000
Ga1 Ga 0.0000 0.0000 0.5000
Ga2 Ga 0.0000 0.5000 0.8680
Ga3 Ga 0.5000 0.5000 0.5000
Rh1 Rh 0.0000 0.0000 0.0000
Rh2 Rh 0.0000 0.5000 0.6250



No. 12
# Nb3CuPb, optimized geometry, DFT PBE-GGA
# Fermi-level density of states ... 0.336 states/eV/atom
# ΔH_f (0 K) ... 0.8651 eV/atom
data_Nb3CuPb
_cell_length_a 4.7111
_cell_length_b 4.7111
_cell_length_c 4.7111
_cell_angle_alpha 90.00
_cell_angle_beta 90.00
_cell_angle_gamma 90.00
_space_group_name_H-M_alt 'P m -3 m'
_space_group_IT_number 221
_space_group_name_Hall '-P 4 2 3'
loop_
_atom_site_label
_atom_site_type_symbol
_atom_site_fract_x
_atom_site_fract_y
_atom_site_fract_z
Nb1 Nb 0.0000 0.0000 0.5000
Cu1 Cu 0.0000 0.0000 0.0000
Pb1 Pb 0.5000 0.5000 0.5000



No. 13
# Ca3PmAl8, optimized geometry, DFT PBE-GGA
# Fermi-level density of states ... 0.408 states/eV/atom
# ΔH_f (0 K) ... -0.3761 eV/atom
data_Ca3PmAl8
_cell_length_a 5.6471
_cell_length_b 5.6471
_cell_length_c 27.8533
_cell_angle_alpha 90.00
_cell_angle_beta 90.00
_cell_angle_gamma 120.00
_space_group_name_H-M_alt 'R 3 m'
_space_group_IT_number 160
_space_group_name_Hall 'R 3 -2"'
loop_
_atom_site_label
_atom_site_type_symbol
_atom_site_fract_x
_atom_site_fract_y
_atom_site_fract_z
Ca1 Ca 0.0000 0.0000 0.0000
Ca2 Ca 0.0000 0.0000 0.1251
Ca3 Ca 0.0000 0.0000 0.6254
Pm1 Pm 0.0000 0.0000 0.4997
Al1 Al 0.0000 0.0000 0.3126
Al2 Al 0.0000 0.0000 0.8128
Al3 Al 0.0016 0.5008 0.0629
Al4 Al 0.1670 0.3340 0.8956



No. 14
# CaCd3Ga2, optimized geometry, DFT PBE-GGA
# Fermi-level density of states ... 0.394 states/eV/atom
# ΔH_f (0 K) ... -0.2249 eV/atom
data_CaCd3Ga2
_cell_length_a 4.6228
_cell_length_b 8.3265
_cell_length_c 14.2282
_cell_angle_alpha 90.00
_cell_angle_beta 90.00
_cell_angle_gamma 90.00
_space_group_name_H-M_alt 'I m m m'
_space_group_IT_number 71
_space_group_name_Hall '-I 2 2'
loop_
_atom_site_label
_atom_site_type_symbol
_atom_site_fract_x
_atom_site_fract_y
_atom_site_fract_z
Ca1 Ca 0.0000 0.0000 0.1310
Cd1 Cd 0.0000 0.2020 0.3282
Cd2 Cd 0.0000 0.3316 0.0000
Ga1 Ga 0.0000 0.3496 0.5000
Ga2 Ga 0.0000 0.5000 0.1942



No. 15
# Sr2Cd6HgAu, optimized geometry, DFT PBE-GGA
# Fermi-level density of states ... 0.546 states/eV/atom
# ΔH_f (0 K) ... -0.2319 eV/atom
data_Sr2Cd6HgAu
_cell_length_a 8.0580
_cell_length_b 9.8650
_cell_length_c 7.2152
_cell_angle_alpha 90.00
_cell_angle_beta 90.00
_cell_angle_gamma 90.00
_space_group_name_H-M_alt 'P m m n'
_space_group_IT_number 59
loop_
_space_group_symop_operation_xyz
'x,y,z'
'-x,-y,-z'
'-x+1/2,-y+1/2,z'
'x+1/2,y+1/2,-z'
'x+1/2,-y,-z'
'-x+1/2,y,z'
'-x,y+1/2,-z'
'x,-y+1/2,z'
loop_
_atom_site_label
_atom_site_type_symbol
_atom_site_fract_x
_atom_site_fract_y
_atom_site_fract_z
Sr1 Sr 0.2500 0.0198 0.2239
Cd1 Cd 0.0644 0.2500 0.8842
Cd2 Cd 0.0780 0.7500 0.5357
Cd3 Cd 0.2500 0.5023 0.7211
Hg1 Hg 0.2500 0.7500 0.9401
Au1 Au 0.2500 0.2500 0.5298



No. 16
# Li4TbHo3Se8, optimized geometry, DFT PBE-GGA
# Fermi-level density of states ... 0.000 states/eV/atom
data_Li4TbHo3Se8
_cell_length_a 8.1229
_cell_length_b 8.1229
_cell_length_c 19.4921
_cell_angle_alpha 90.00
_cell_angle_beta 90.00
_cell_angle_gamma 120.00
_space_group_name_H-M_alt 'R -3 m'
_space_group_IT_number 166
_space_group_name_Hall '-R 3 2"'
loop_
_atom_site_label
_atom_site_type_symbol
_atom_site_fract_x
_atom_site_fract_y
_atom_site_fract_z
Li1 Li 0.0000 0.0000 0.0000
Li2 Li 0.0000 0.5000 0.0000
Tb1 Tb 0.0000 0.0000 0.5000
Ho1 Ho 0.0000 0.5000 0.5000
Se1 Se 0.0000 0.0000 0.2506
Se2 Se 0.0018 0.5009 0.7490



No. 17
# NdSc6, optimized geometry, DFT PBE-GGA
# Fermi-level density of states ... 1.937 states/eV/atom
# ΔH_f (0 K) ... 0.2499 eV/atom
data_NdSc6
_cell_length_a 6.0748
_cell_length_b 6.0748
_cell_length_c 10.2778
_cell_angle_alpha 90.00
_cell_angle_beta 90.00
_cell_angle_gamma 90.00
_space_group_name_H-M_alt 'P 4/n b m'
_space_group_IT_number 125
loop_
_space_group_symop_operation_xyz
'x,y,z'
'-x,-y,-z'
'-y+1/2,x,z'
'y+1/2,-x,-z'
'-x+1/2,-y+1/2,z'
'x+1/2,y+1/2,-z'
'y,-x+1/2,z'
'-y,x+1/2,-z'
'x,-y+1/2,-z'
'-x,y+1/2,z'
'-y+1/2,-x+1/2,-z'
'y+1/2,x+1/2,z'
'-x+1/2,y,-z'
'x+1/2,-y,z'
'y,x,-z'
'-y,-x,z'
loop_
_atom_site_label
_atom_site_type_symbol
_atom_site_fract_x
_atom_site_fract_y
_atom_site_fract_z
Nd1 Nd 0.2500 0.7500 0.0000
Sc1 Sc 0.0817 0.5817 0.3655
Sc2 Sc 0.2500 0.2500 0.1464



No. 18
# SnRhF2, optimized geometry, DFT PBE-GGA
# Fermi-level density of states ... 0.925 states/eV/atom
data_SnRhF2
_cell_length_a 2.9990
_cell_length_b 2.9990
_cell_length_c 24.2995
_cell_angle_alpha 90.00
_cell_angle_beta 90.00
_cell_angle_gamma 120.00
_space_group_name_H-M_alt 'R -3 m'
_space_group_IT_number 166
_space_group_name_Hall '-R 3 2"'
loop_
_atom_site_label
_atom_site_type_symbol
_atom_site_fract_x
_atom_site_fract_y
_atom_site_fract_z
Sn1 Sn 0.0000 0.0000 0.0000
Rh1 Rh 0.0000 0.0000 0.5000
F1 F 0.0000 0.0000 0.4169



No. 19
# SeIN2F, optimized geometry, DFT PBE-GGA
# Fermi-level density of states ... 0.398 states/eV/atom
data_SeIN2F
_cell_length_a 4.1206
_cell_length_b 4.1206
_cell_length_c 6.7511
_cell_angle_alpha 90.00
_cell_angle_beta 90.00
_cell_angle_gamma 90.00
_space_group_name_H-M_alt 'P 4/m m m'
_space_group_IT_number 123
_space_group_name_Hall '-P 4 2'
loop_
_atom_site_label
_atom_site_type_symbol
_atom_site_fract_x
_atom_site_fract_y
_atom_site_fract_z
Se1 Se 0.0000 0.0000 0.0000
I1 I 0.5000 0.5000 0.0000
N1 N 0.0000 0.5000 0.5000
F1 F 0.5000 0.5000 0.5000



No. 20
# Zn2AgHg, optimized geometry, DFT PBE-GGA
# Fermi-level density of states ... 0.348 states/eV/atom
# ΔH_f (0 K) ... 0.0627 eV/atom
data_Zn2AgHg
_cell_length_a 3.5080
_cell_length_b 3.5080
_cell_length_c 5.8611
_cell_angle_alpha 90.00
_cell_angle_beta 90.00
_cell_angle_gamma 90.00
_space_group_name_H-M_alt 'P 4 m m'
_space_group_IT_number 99
_space_group_name_Hall 'P 4 -2'
loop_
_atom_site_label
_atom_site_type_symbol
_atom_site_fract_x
_atom_site_fract_y
_atom_site_fract_z
Zn1 Zn 0.0000 0.0000 0.0000
Zn2 Zn 0.5000 0.5000 0.2326
Ag1 Ag 0.0000 0.0000 0.4571
Hg1 Hg 0.5000 0.5000 0.7501



no.,total magnetic moment (μB per formula unit),total energy (eV per atom)
1,1.59,-6.2298
2,1.09,-7.5716
3,0.00,-5.8218
4,0.00,-6.1981
5,0.00,-7.0703
6,0.00,-4.4466
7,0.00,-7.8013
8,0.00,-6.5503
9,0.00,-7.1219
10,2.44,-7.7947
11,0.00,-5.1781
12,0.00,-6.7377
13,0.00,-3.7675
14,0.00,-2.0250
15,0.00,-1.4752
16,0.00,-5.0657
17,0.42,-5.8582
18,0.97,-4.7014
19,4.94,-2.6915
20,0.00,-1.3625